Re3Ni: single point on PBEsol structure, SCAN.

Cell: 5.3585 5.3585 8.7125 Å, 90.00 90.00 120.00°
Last column: nearest neighbours and their distance in Å.
Space group P6_3/mmc (No. 194)
Asymmetric unit:
Re 0.0000 0.5000 0.0000 x6  4 Ni 2.67-2.68, 8 Re 2.67-2.68
Re 0.1656 0.3312 0.2500 x6  8 Re 2.66-2.70, 4 Ni 2.67-2.68
Ni 0.0000 0.0000 0.0000 x2  12 Re 2.67-2.68
Ni 0.3333 0.6667 0.7500 x2  12 Re 2.67-2.68

Summary:
DOS at the Fermi energy, states/eV/atom: 0.3728

=====

Re3Ni: single point on PBEsol structure, SCAN.

Cell: 4.3248 5.4010 4.6402 Å, 90.00 90.00 90.00°
Last column: nearest neighbours and their distance in Å.
Space group Pmmn (No. 59, origin choice 2)
Asymmetric unit:
Re 0.2500 0.0028 0.1712 x4  8 Re 2.65-2.73, 4 Ni 2.66-2.69
Re 0.2500 0.7500 0.6659 x2  8 Re 2.65-2.71, 4 Ni 2.66-2.70
Ni 0.2500 0.2500 0.6688 x2  12 Re 2.66-2.70

Summary:
DOS at the Fermi energy, states/eV/atom: 0.4269

=====

Re3Ni: single point on PBEsol structure, SCAN.

Cell: 2.7303 4.2939 4.6626 Å, 90.00 90.00 90.00°
Last column: nearest neighbours and their distance in Å.
Space group Pmm2 (No. 25)
Asymmetric unit:
Re 0.0000 0.0000 0.0000 x1  4 Ni 2.65-2.75, 8 Re 2.65-2.73
Re 0.0000 0.5000 0.3341 x1  8 Re 2.64-2.76, 4 Ni 2.64
Re 0.5000 0.5000 0.8191 x1  10 Re 2.64-2.76, 2 Ni 2.65
Ni 0.5000 0.0000 0.4875 x1  10 Re 2.64-2.75, 2 Ni 2.73

Summary:
DOS at the Fermi energy, states/eV/atom: 0.9015

=====

| no. | formation energy (meV per atom) | raw total energy (eV/atom) | size of the total moment (μB/f.u.) |
| --- | --- | --- | --- |
| 1 | -65 | -57.43 | 0.000 |
| 2 | -108 | -57.47 | 0.000 |
| 3 | -6 | -57.37 | 0.000 |